The following is a PBE calculation of Tl3Cu2Pd8 after structural relaxation, from Alexandria via LeMat-Bulk.

Results
- DFT formation energy (eV per atom) = 0.0963
- size of the total moment (μB/atom) = 0.000
- D(E_F) (states/eV per atom) = 0.8357

Cell: 5.3611 5.3611 29.1532 Å, 90.00 90.00 120.00°
Space group R-3m (No. 166, hexagonal axes)
Asymmetric unit:
Tl  0.0000  0.0000  0.0000 (multiplicity 3)
Tl  0.0000  0.0000  0.1817 (multiplicity 6)
Cu  0.0000  0.0000  0.3592 (multiplicity 6)
Pd  0.0000  0.0000  0.2746 (multiplicity 6)
Pd  0.0018  0.5009  0.7629 (multiplicity 18)

=====

The following is a PBE calculation of SmCdHgPd after structural relaxation, from Alexandria via LeMat-Bulk.

Results
- DFT formation energy (eV per atom) = -0.4931
- size of the total moment (μB/atom) = 0.000
- D(E_F) (states/eV per atom) = 0.8252

Cell: 7.082 7.082 7.082 Å, 90.00 90.00 90.00°
Space group F-43m (No. 216)
Asymmetric unit:
Sm  0.000  0.000  0.000 (multiplicity 4)
Cd  0.000  0.000  0.500 (multiplicity 4)
Hg  0.250  0.250  0.250 (multiplicity 4)
Pd  0.250  0.250  0.750 (multiplicity 4)

=====

The following is a PBE calculation of Pm4Al3Au after structural relaxation, from Alexandria via LeMat-Bulk.

Results
- DFT formation energy (eV per atom) = -0.4582
- size of the total moment (μB/atom) = 0.000
- D(E_F) (states/eV per atom) = 0.6903

Cell: 3.661 3.661 15.117 Å, 90.00 90.00 90.00°
Space group P4/mmm (No. 123)
Asymmetric unit:
Pm  0.000  0.000  0.124 (multiplicity 2)
Pm  0.000  0.000  0.375 (multiplicity 2)
Al  0.500  0.500  0.000 (multiplicity 1)
Al  0.500  0.500  0.249 (multiplicity 2)
Au  0.500  0.500  0.500 (multiplicity 1)

=====

The following is a PBE calculation of AcCdSn2Au4 after structural relaxation, from Alexandria via LeMat-Bulk.

Results
- DFT formation energy (eV per atom) = -0.4118
- size of the total moment (μB/atom) = 0.000
- D(E_F) (states/eV per atom) = 0.2841

Cell: 4.7886 4.7886 28.3797 Å, 90.00 90.00 120.00°
Space group R-3m (No. 166, hexagonal axes)
Asymmetric unit:
Ac  0.0000  0.0000  0.0000 (multiplicity 3)
Cd  0.0000  0.0000  0.5000 (multiplicity 3)
Sn  0.0000  0.0000  0.2438 (multiplicity 6)
Au  0.0000  0.0000  0.1355 (multiplicity 6)
Au  0.0000  0.0000  0.3942 (multiplicity 6)

=====

The following is a PBE calculation of K2VI4 after structural relaxation, from Alexandria via LeMat-Bulk.

Results
- E_form (uncorrected) (eV/atom) = -0.95
- size of the total moment (μB/atom) = 0.429
- D(E_F) (states/eV per atom) = 0.2571

Cell: 5.694 5.694 17.712 Å, 90.00 90.00 90.00°
Space group I4/mmm (No. 139)
Asymmetric unit:
K  0.000  0.000  0.139 (multiplicity 4)
V  0.000  0.000  0.500 (multiplicity 2)
I  0.000  0.000  0.338 (multiplicity 4)
I  0.000  0.500  0.000 (multiplicity 4)

=====

The following is a PBE calculation of Tm2ScAl3Zn6 after structural relaxation, from Alexandria via LeMat-Bulk.

Results
- DFT formation energy (eV per atom) = 0.0570
- size of the total moment (μB/atom) = 0.000
- D(E_F) (states/eV per atom) = 0.6654

Cell: 3.880 3.880 17.727 Å, 90.00 90.00 90.00°
Space group P4/mmm (No. 123)
Asymmetric unit:
Tm  0.000  0.000  0.211 (multiplicity 2)
Sc  0.000  0.000  0.500 (multiplicity 1)
Al  0.500  0.500  0.000 (multiplicity 1)
Al  0.500  0.500  0.278 (multiplicity 2)
Zn  0.000  0.500  0.378 (multiplicity 4)
Zn  0.500  0.500  0.136 (multiplicity 2)

=====

In hartree per atom, the energy values for the records above are, in order, -0.15712; -0.12037; -0.17076; -0.13521; -0.12675; -0.10247.